No. 1
Below is an optimized crystal structure of PrPPdRh, with properties calculated at the PBE-GGA level.

Unit cell a=3.985 b=4.128 c=9.585 alpha=90.00 beta=90.00 gamma=90.00
Space group Amm2 (No. 38)
Inequivalent atoms, fractional coordinates:
1 Pr 0.000 0.000 0.000 (multiplicity 2)
2 P 0.500 0.000 0.411 (multiplicity 2)
3 Pd 0.000 0.000 0.281 (multiplicity 2)
4 Rh 0.500 0.000 0.658 (multiplicity 2)

Theoretical density (g cm⁻³): 8.03
Energy (Ry/atom): -0.461

No. 2
Below is an optimized crystal structure of TeWSe2, with properties calculated at the PBE-GGA level.

Unit cell a=3.311 b=4.586 c=5.292 alpha=90.00 beta=90.00 gamma=90.00
Space group Pmmm (No. 47)
Inequivalent atoms, fractional coordinates:
1 Te 0.000 0.000 0.000 (multiplicity 1)
2 W 0.500 0.000 0.500 (multiplicity 1)
3 Se 0.000 0.500 0.500 (multiplicity 1)
4 Se 0.500 0.500 0.000 (multiplicity 1)

E_form (uncorrected) (eV per atom): 0.89
Theoretical density (g cm⁻³): 9.70
Energy (Ry/atom): -0.358

Number 1: V 157.7 Å³ per cell. Number 2: V 80.3 Å³ per cell.